Model 1:
Entry from Alexandria via LeMat-Bulk: a relaxed Ga2CuNi3 crystal (PBE).

a b c (Å): 2.993 2.993 8.073
angles (deg): 90.00 90.00 90.00
Space group P4/mmm (No. 123)
Asymmetric unit:
Ga  0.000  0.000  0.175 (multiplicity 2)
Cu  0.000  0.000  0.500 (multiplicity 1)
Ni  0.500  0.500  0.000 (multiplicity 1)
Ni  0.500  0.500  0.333 (multiplicity 2)

magnetic moment = 0.0 μB/cell
N(E_F) = 3.34 states/eV/f.u.

---

Model 2:
Entry from Alexandria via LeMat-Bulk: a relaxed Ga2CuNi3 crystal (PBE).

a b c (Å): 4.0717 4.0717 10.0259
angles (deg): 90.00 90.00 120.00
Space group P-3m1 (No. 164)
Asymmetric unit:
Ga  0.0000  0.0000  0.0000 (multiplicity 1)
Ga  0.0000  0.0000  0.5000 (multiplicity 1)
Ga  0.3333  0.6667  0.1765 (multiplicity 2)
Cu  0.3333  0.6667  0.6683 (multiplicity 2)
Ni  0.0000  0.0000  0.2485 (multiplicity 2)
Ni  0.3333  0.6667  0.4206 (multiplicity 2)
Ni  0.3333  0.6667  0.9211 (multiplicity 2)

magnetic moment = 0.0 μB/cell
N(E_F) = 3.77 states/eV/f.u.

---

Stability summary - winner: model 2; margin: 32 meV/atom.

---

Model 1:
Entry from Alexandria via LeMat-Bulk: a relaxed GaCu6Ni crystal (PBE).

a b c (Å): 6.6170 6.6170 9.1400
angles (deg): 90.00 90.00 120.00
Space group R-3m (No. 166, hexagonal axes)
Asymmetric unit:
Ga  0.0000  0.0000  0.0000 (multiplicity 3)
Cu  0.0869  0.5434  0.3786 (multiplicity 18)
Ni  0.0000  0.0000  0.5000 (multiplicity 3)

magnetic moment = 0.0 μB/cell
N(E_F) = 5.31 states/eV/f.u.

---

Model 2:
Entry from Alexandria via LeMat-Bulk: a relaxed GaCu6Ni crystal (PBE).

a b c (Å): 3.596 3.596 14.944
angles (deg): 90.00 90.00 90.00
Space group I4/mmm (No. 139)
Asymmetric unit:
Ga  0.000  0.000  0.000 (multiplicity 2)
Cu  0.000  0.000  0.253 (multiplicity 4)
Cu  0.000  0.500  0.127 (multiplicity 8)
Ni  0.000  0.000  0.500 (multiplicity 2)

magnetic moment = 0.0 μB/cell
N(E_F) = 3.19 states/eV/f.u.

---

Stability summary - winner: model 2; margin: 447 meV/atom.